1.
VASP calculation (GGA-PBE) on a relaxed AlCr2Cl2 crystal.

The structure in CIF format:
```
data_AlCr2Cl2
_chemical_formula_sum 'Al2 Cr4 Cl4'
_symmetry_space_group_name_H-M 'I 4/m m m'
_symmetry_Int_Tables_number 139
_symmetry_space_group_name_Hall '-I 4 2'
_cell_length_a 4.293
_cell_length_b 4.293
_cell_length_c 11.509
_cell_angle_alpha 90.00
_cell_angle_beta 90.00
_cell_angle_gamma 90.00
loop_
_atom_site_label
_atom_site_fract_x
_atom_site_fract_y
_atom_site_fract_z
Al1 0.000 0.000 0.000
Cr1 0.000 0.000 0.377
Cl1 0.000 0.500 0.250
```

Computed properties:
formation energy from raw total energies	0.261	eV/atom
calculated volume	21.2	A^3/atom



2.
VASP calculation (GGA-PBE) on a relaxed Al2CrCl crystal.

The structure in CIF format:
```
data_Al2CrCl
_chemical_formula_sum 'Al4 Cr2 Cl2'
_symmetry_space_group_name_H-M 'I m m m'
_symmetry_Int_Tables_number 71
_symmetry_space_group_name_Hall '-I 2 2'
_cell_length_a 3.075
_cell_length_b 4.964
_cell_length_c 9.097
_cell_angle_alpha 90.00
_cell_angle_beta 90.00
_cell_angle_gamma 90.00
loop_
_atom_site_label
_atom_site_fract_x
_atom_site_fract_y
_atom_site_fract_z
Al1 0.000 0.000 0.245
Cr1 0.000 0.500 0.500
Cl1 0.000 0.500 0.000
```

Computed properties:
formation energy from raw total energies	0.246	eV/atom
calculated volume	17.4	A^3/atom
energy above the lowest structure with this stoichiometry	1.31	eV/f.u.



3.
VASP calculation (GGA-PBE) on a relaxed Al2CrCl crystal.

The structure in CIF format:
```
data_Al2CrCl
_chemical_formula_sum 'Al4 Cr2 Cl2'
_symmetry_space_group_name_H-M 'C 1 2/m 1'
_symmetry_Int_Tables_number 12
_cell_length_a 10.727
_cell_length_b 3.038
_cell_length_c 4.390
_cell_angle_alpha 90.00
_cell_angle_beta 94.90
_cell_angle_gamma 90.00
loop_
_symmetry_equiv_pos_as_xyz
'x,y,z'
'-x,-y,-z'
'-x,y,-z'
'x,-y,z'
'x+1/2,y+1/2,z'
'-x+1/2,-y+1/2,-z'
'-x+1/2,y+1/2,-z'
'x+1/2,-y+1/2,z'
loop_
_atom_site_label
_atom_site_fract_x
_atom_site_fract_y
_atom_site_fract_z
Al1 0.217 0.000 0.238
Cr1 0.000 0.500 0.000
Cl1 0.000 0.000 0.500
```

Computed properties:
formation energy from raw total energies	0.176	eV/atom
calculated volume	17.8	A^3/atom
energy above the lowest structure with this stoichiometry	1.03	eV/f.u.



4.
VASP calculation (GGA-PBE) on a relaxed AlCr4Cl crystal.

The structure in CIF format:
```
data_AlCr4Cl
_chemical_formula_sum 'Al4 Cr16 Cl4'
_symmetry_space_group_name_H-M 'F -4 3 m'
_symmetry_Int_Tables_number 216
_symmetry_space_group_name_Hall 'F -4 2 3'
_cell_length_a 6.882
_cell_length_b 6.882
_cell_length_c 6.882
_cell_angle_alpha 90.00
_cell_angle_beta 90.00
_cell_angle_gamma 90.00
loop_
_atom_site_label
_atom_site_fract_x
_atom_site_fract_y
_atom_site_fract_z
Al1 0.000 0.000 0.000
Cr1 0.122 0.122 0.378
Cl1 0.250 0.250 0.750
```

Computed properties:
formation energy from raw total energies	0.686	eV/atom
calculated volume	13.6	A^3/atom



5.
VASP calculation (GGA-PBE) on a relaxed AlCrCl crystal.

The structure in CIF format:
```
data_AlCrCl
_chemical_formula_sum 'Al4 Cr4 Cl4'
_symmetry_space_group_name_H-M 'F -4 3 m'
_symmetry_Int_Tables_number 216
_symmetry_space_group_name_Hall 'F -4 2 3'
_cell_length_a 6.710
_cell_length_b 6.710
_cell_length_c 6.710
_cell_angle_alpha 90.00
_cell_angle_beta 90.00
_cell_angle_gamma 90.00
loop_
_atom_site_label
_atom_site_fract_x
_atom_site_fract_y
_atom_site_fract_z
Al1 0.000 0.000 0.000
Cr1 0.250 0.250 0.750
Cl1 0.250 0.250 0.250
```

Computed properties:
formation energy from raw total energies	0.679	eV/atom
calculated volume	25.2	A^3/atom
energy above the lowest structure with this stoichiometry	2.01	eV/f.u.



6.
VASP calculation (GGA-PBE) on a relaxed AlCrCl4 crystal.

The structure in CIF format:
```
data_AlCrCl4
_chemical_formula_sum 'Al4 Cr4 Cl16'
_symmetry_space_group_name_H-M 'F -4 3 m'
_symmetry_Int_Tables_number 216
_symmetry_space_group_name_Hall 'F -4 2 3'
_cell_length_a 8.412
_cell_length_b 8.412
_cell_length_c 8.412
_cell_angle_alpha 90.00
_cell_angle_beta 90.00
_cell_angle_gamma 90.00
loop_
_atom_site_label
_atom_site_fract_x
_atom_site_fract_y
_atom_site_fract_z
Al1 0.000 0.000 0.000
Cr1 0.250 0.250 0.250
Cl1 0.125 0.125 0.625
```

Computed properties:
formation energy from raw total energies	0.555	eV/atom
calculated volume	24.8	A^3/atom



7.
VASP calculation (GGA-PBE) on a relaxed Al2CrCl crystal.

The structure in CIF format:
```
data_Al2CrCl
_chemical_formula_sum 'Al2 Cr1 Cl1'
_symmetry_space_group_name_H-M 'P 4/m m m'
_symmetry_Int_Tables_number 123
_symmetry_space_group_name_Hall '-P 4 2'
_cell_length_a 3.006
_cell_length_b 3.006
_cell_length_c 7.399
_cell_angle_alpha 90.00
_cell_angle_beta 90.00
_cell_angle_gamma 90.00
loop_
_atom_site_label
_atom_site_fract_x
_atom_site_fract_y
_atom_site_fract_z
Al1 0.000 0.000 0.200
Cr1 0.500 0.500 0.000
Cl1 0.500 0.500 0.500
```

Computed properties:
formation energy from raw total energies	-0.061	eV/atom
calculated volume	16.7	A^3/atom
energy above the lowest structure with this stoichiometry	0.08	eV/f.u.



8.
VASP calculation (GGA-PBE) on a relaxed Al4CrCl crystal.

The structure in CIF format:
```
data_Al4CrCl
_chemical_formula_sum 'Al16 Cr4 Cl4'
_symmetry_space_group_name_H-M 'F -4 3 m'
_symmetry_Int_Tables_number 216
_symmetry_space_group_name_Hall 'F -4 2 3'
_cell_length_a 7.587
_cell_length_b 7.587
_cell_length_c 7.587
_cell_angle_alpha 90.00
_cell_angle_beta 90.00
_cell_angle_gamma 90.00
loop_
_atom_site_label
_atom_site_fract_x
_atom_site_fract_y
_atom_site_fract_z
Al1 0.124 0.124 0.376
Cr1 0.250 0.250 0.750
Cl1 0.000 0.000 0.000
```

Computed properties:
formation energy from raw total energies	0.274	eV/atom
calculated volume	18.2	A^3/atom



9.
VASP calculation (GGA-PBE) on a relaxed AlCrCl crystal.

The structure in CIF format:
```
data_AlCrCl
_chemical_formula_sum 'Al4 Cr4 Cl4'
_symmetry_space_group_name_H-M 'F -4 3 m'
_symmetry_Int_Tables_number 216
_symmetry_space_group_name_Hall 'F -4 2 3'
_cell_length_a 6.428
_cell_length_b 6.428
_cell_length_c 6.428
_cell_angle_alpha 90.00
_cell_angle_beta 90.00
_cell_angle_gamma 90.00
loop_
_atom_site_label
_atom_site_fract_x
_atom_site_fract_y
_atom_site_fract_z
Al1 0.000 0.000 0.000
Cr1 0.250 0.250 0.250
Cl1 0.000 0.000 0.500
```

Computed properties:
formation energy from raw total energies	0.522	eV/atom
calculated volume	22.1	A^3/atom
energy above the lowest structure with this stoichiometry	1.54	eV/f.u.



10.
VASP calculation (GGA-PBE) on a relaxed AlCr3Cl crystal.

The structure in CIF format:
```
data_AlCr3Cl
_chemical_formula_sum 'Al1 Cr3 Cl1'
_symmetry_space_group_name_H-M 'P m -3 m'
_symmetry_Int_Tables_number 221
_symmetry_space_group_name_Hall '-P 4 2 3'
_cell_length_a 4.927
_cell_length_b 4.927
_cell_length_c 4.927
_cell_angle_alpha 90.00
_cell_angle_beta 90.00
_cell_angle_gamma 90.00
loop_
_atom_site_label
_atom_site_fract_x
_atom_site_fract_y
_atom_site_fract_z
Al1 0.000 0.000 0.000
Cr1 0.000 0.000 0.500
Cl1 0.500 0.500 0.500
```

Computed properties:
formation energy from raw total energies	1.124	eV/atom
calculated volume	23.9	A^3/atom
energy above the lowest structure with this stoichiometry	2.12	eV/f.u.



11.
VASP calculation (GGA-PBE) on a relaxed Al2CrCl2 crystal.

The structure in CIF format:
```
data_Al2CrCl2
_chemical_formula_sum 'Al4 Cr2 Cl4'
_symmetry_space_group_name_H-M 'P 4/m b m'
_symmetry_Int_Tables_number 127
_symmetry_space_group_name_Hall '-P 4 2ab'
_cell_length_a 6.988
_cell_length_b 6.988
_cell_length_c 4.798
_cell_angle_alpha 90.00
_cell_angle_beta 90.00
_cell_angle_gamma 90.00
loop_
_atom_site_label
_atom_site_fract_x
_atom_site_fract_y
_atom_site_fract_z
Al1 0.135 0.365 0.000
Cr1 0.000 0.000 0.000
Cl1 0.187 0.313 0.500
```

Computed properties:
formation energy from raw total energies	0.072	eV/atom
calculated volume	23.4	A^3/atom
energy above the lowest structure with this stoichiometry	0.00	eV/f.u.



12.
VASP calculation (GGA-PBE) on a relaxed CsAlCrCl6 crystal.

The structure in CIF format:
```
data_CsAlCrCl6
_chemical_formula_sum 'Cs1 Al1 Cr1 Cl6'
_symmetry_space_group_name_H-M 'P 3 1 2'
_symmetry_Int_Tables_number 149
_cell_length_a 6.3824
_cell_length_b 6.3824
_cell_length_c 7.8542
_cell_angle_alpha 90.00
_cell_angle_beta 90.00
_cell_angle_gamma 120.00
loop_
_symmetry_equiv_pos_as_xyz
'x,y,z'
'-y,x-y,z'
'-x+y,-x,z'
'-y,-x,-z'
'-x+y,y,-z'
'x,x-y,-z'
loop_
_atom_site_label
_atom_site_fract_x
_atom_site_fract_y
_atom_site_fract_z
Cs1 0.0000 0.0000 0.0000
Al1 0.6667 0.3333 0.5000
Cr1 0.3333 0.6667 0.5000
Cl1 0.3814 0.0185 0.6731
```

Computed properties:
formation energy from raw total energies	-1.434	eV/atom
calculated volume	30.8	A^3/atom



13.
VASP calculation (GGA-PBE) on a relaxed CsAlCrCl2 crystal.

The structure in CIF format:
```
data_CsAlCrCl2
_chemical_formula_sum 'Cs1 Al1 Cr1 Cl2'
_symmetry_space_group_name_H-M 'P 4/m m m'
_symmetry_Int_Tables_number 123
_symmetry_space_group_name_Hall '-P 4 2'
_cell_length_a 4.993
_cell_length_b 4.993
_cell_length_c 7.484
_cell_angle_alpha 90.00
_cell_angle_beta 90.00
_cell_angle_gamma 90.00
loop_
_atom_site_label
_atom_site_fract_x
_atom_site_fract_y
_atom_site_fract_z
Cs1 0.000 0.000 0.000
Al1 0.000 0.000 0.500
Cr1 0.500 0.500 0.000
Cl1 0.000 0.500 0.500
```

Computed properties:
formation energy from raw total energies	0.158	eV/atom
calculated volume	37.3	A^3/atom